(1)
Material: SmYP
Method: DFT, PBE
State: optimized geometry

Unit cell a=3.9571 b=3.9571 c=6.4738 alpha=90.00 beta=90.00 gamma=120.00
Space group P3m1 (No. 156)
Symmetry-distinct sites (fractional):
Sm  0.0000  0.0000  0.0000
Y  0.3333  0.6667  0.4937
P  0.6667  0.3333  0.2535

## Properties
Total magnetic moment (μB per formula unit): 0.051
Fermi-level density of states (states/eV/f.u.): 3.9
Energy of formation (eV per atom): -0.97

(2)
Material: Sm3YP
Method: DFT, PBE
State: optimized geometry

Unit cell a=5.509 b=5.509 c=5.509 alpha=90.00 beta=90.00 gamma=90.00
Space group Pm-3m (No. 221)
Symmetry-distinct sites (fractional):
Sm  0.000  0.000  0.500
Y  0.500  0.500  0.500
P  0.000  0.000  0.000

## Properties
Total magnetic moment (μB per formula unit): 0.000
Fermi-level density of states (states/eV/f.u.): 8.3
Energy of formation (eV per atom): -0.40

(3)
Material: SmZnP
Method: DFT, PBE
State: optimized geometry

Unit cell a=4.7295 b=4.7295 c=23.0839 alpha=90.00 beta=90.00 gamma=120.00
Space group R-3m (No. 166, hexagonal axes)
Symmetry-distinct sites (fractional):
Sm  0.0000  0.0000  0.0972
Zn  0.0000  0.0000  0.3235
P  0.0000  0.0000  0.2188

## Properties
Total magnetic moment (μB per formula unit): 0.000
Fermi-level density of states (states/eV/f.u.): 2.1
Energy of formation (eV per atom): -0.68

(4)
Material: Sm2ZrP
Method: DFT, PBE
State: optimized geometry

Unit cell a=3.7239 b=3.7239 c=29.4073 alpha=90.00 beta=90.00 gamma=120.00
Space group R-3m (No. 166, hexagonal axes)
Symmetry-distinct sites (fractional):
Sm  0.0000  0.0000  0.1082
Zr  0.0000  0.0000  0.0000
P  0.0000  0.0000  0.5000

## Properties
Total magnetic moment (μB per formula unit): 1.846
Fermi-level density of states (states/eV/f.u.): 4.7
Energy of formation (eV per atom): -0.22